[1]
Material: LiBeCu4Si2
Method: DFT, PBE
State: relaxed

Results
Uncorrected energy (eV per atom): -4.02

a = 4.006 Å, b = 4.006 Å, c = 5.670 Å
α = 90.00°, β = 90.00°, γ = 90.00°
Space group P4/mmm (No. 123)
Inequivalent atoms, fractional coordinates:
Li  0.000  0.000  0.000 [1 per cell]
Be  0.500  0.500  0.500 [1 per cell]
Cu  0.000  0.500  0.257 [4 per cell]
Si  0.000  0.000  0.500 [1 per cell]
Si  0.500  0.500  0.000 [1 per cell]

***

[2]
Material: LiBeCuSn
Method: DFT, PBE
State: relaxed

Results
Polymorph energy (0 for the lowest one) (meV/atom): 0

a = 6.037 Å, b = 6.037 Å, c = 6.037 Å
α = 90.00°, β = 90.00°, γ = 90.00°
Space group F-43m (No. 216)
Inequivalent atoms, fractional coordinates:
Li  0.000  0.000  0.000 [4 per cell]
Be  0.000  0.000  0.500 [4 per cell]
Cu  0.250  0.250  0.250 [4 per cell]
Sn  0.250  0.250  0.750 [4 per cell]

***

[3]
Material: LiBeTlCu
Method: DFT, PBE
State: relaxed

Results
Polymorph energy (0 for the lowest one) (meV/atom): 0

a = 6.126 Å, b = 6.126 Å, c = 6.126 Å
α = 90.00°, β = 90.00°, γ = 90.00°
Space group F-43m (No. 216)
Inequivalent atoms, fractional coordinates:
Li  0.000  0.000  0.000 [4 per cell]
Be  0.250  0.250  0.750 [4 per cell]
Tl  0.250  0.250  0.250 [4 per cell]
Cu  0.000  0.000  0.500 [4 per cell]

***

[4]
Material: LuBeCu
Method: DFT, PBE
State: relaxed

Results
Polymorph energy (0 for the lowest one) (meV/atom): 0

a = 6.057 Å, b = 6.057 Å, c = 6.057 Å
α = 90.00°, β = 90.00°, γ = 90.00°
Space group F-43m (No. 216)
Inequivalent atoms, fractional coordinates:
Lu  0.000  0.000  0.000 [4 per cell]
Be  0.000  0.000  0.500 [4 per cell]
Cu  0.250  0.250  0.750 [4 per cell]

***

[5]
Material: Lu2BeCu
Method: DFT, PBE
State: relaxed

Results
Uncorrected energy (eV per atom): -3.80

a = 6.651 Å, b = 6.651 Å, c = 6.651 Å
α = 90.00°, β = 90.00°, γ = 90.00°
Space group F-43m (No. 216)
Inequivalent atoms, fractional coordinates:
Lu  0.000  0.000  0.000 [4 per cell]
Lu  0.250  0.250  0.250 [4 per cell]
Be  0.000  0.000  0.500 [4 per cell]
Cu  0.250  0.250  0.750 [4 per cell]

***

[6]
Material: LuBeCu
Method: DFT, PBE
State: relaxed

Results
Polymorph energy (0 for the lowest one) (meV/atom): 34

a = 5.943 Å, b = 5.943 Å, c = 5.943 Å
α = 90.00°, β = 90.00°, γ = 90.00°
Space group F-43m (No. 216)
Inequivalent atoms, fractional coordinates:
Lu  0.000  0.000  0.000 [4 per cell]
Be  0.250  0.250  0.750 [4 per cell]
Cu  0.000  0.000  0.500 [4 per cell]

***

[7]
Material: LuBeZnCu
Method: DFT, PBE
State: relaxed

Results
Polymorph energy (0 for the lowest one) (meV/atom): 56

a = 6.219 Å, b = 6.219 Å, c = 6.219 Å
α = 90.00°, β = 90.00°, γ = 90.00°
Space group F-43m (No. 216)
Inequivalent atoms, fractional coordinates:
Lu  0.000  0.000  0.000 [4 per cell]
Be  0.250  0.250  0.750 [4 per cell]
Zn  0.250  0.250  0.250 [4 per cell]
Cu  0.000  0.000  0.500 [4 per cell]

***

[8]
Material: LuBeZnCu
Method: DFT, PBE
State: relaxed

Results
Polymorph energy (0 for the lowest one) (meV/atom): 0

a = 6.222 Å, b = 6.222 Å, c = 6.222 Å
α = 90.00°, β = 90.00°, γ = 90.00°
Space group F-43m (No. 216)
Inequivalent atoms, fractional coordinates:
Lu  0.000  0.000  0.000 [4 per cell]
Be  0.250  0.250  0.250 [4 per cell]
Zn  0.000  0.000  0.500 [4 per cell]
Cu  0.250  0.250  0.750 [4 per cell]

***

[9]
Material: MgBeCu2
Method: DFT, PBE
State: relaxed

Results
Polymorph energy (0 for the lowest one) (meV/atom): 0

a = 5.829 Å, b = 5.829 Å, c = 5.829 Å
α = 90.00°, β = 90.00°, γ = 90.00°
Space group Pm-3m (No. 221)
Inequivalent atoms, fractional coordinates:
Mg  0.000  0.000  0.000 [1 per cell]
Mg  0.000  0.000  0.500 [3 per cell]
Be  0.000  0.500  0.500 [3 per cell]
Be  0.500  0.500  0.500 [1 per cell]
Cu  0.276  0.276  0.276 [8 per cell]

***

[10]
Material: MgBeCu
Method: DFT, PBE
State: relaxed

Results
Polymorph energy (0 for the lowest one) (meV/atom): 0

a = 5.728 Å, b = 5.728 Å, c = 5.728 Å
α = 90.00°, β = 90.00°, γ = 90.00°
Space group F-43m (No. 216)
Inequivalent atoms, fractional coordinates:
Mg  0.000  0.000  0.000 [4 per cell]
Be  0.000  0.000  0.500 [4 per cell]
Cu  0.250  0.250  0.750 [4 per cell]

***

[11]
Material: MgBeCu2
Method: DFT, PBE
State: relaxed

Results
Polymorph energy (0 for the lowest one) (meV/atom): 0

a = 5.830 Å, b = 5.830 Å, c = 5.830 Å
α = 90.00°, β = 90.00°, γ = 90.00°
Space group Pm-3m (No. 221)
Inequivalent atoms, fractional coordinates:
Mg  0.000  0.000  0.000 [1 per cell]
Mg  0.000  0.000  0.500 [3 per cell]
Be  0.000  0.500  0.500 [3 per cell]
Be  0.500  0.500  0.500 [1 per cell]
Cu  0.276  0.276  0.276 [8 per cell]

***

[12]
Material: Mg2BeCu
Method: DFT, PBE
State: relaxed

Results
Uncorrected energy (eV per atom): -2.46

a = 6.165 Å, b = 6.165 Å, c = 6.165 Å
α = 90.00°, β = 90.00°, γ = 90.00°
Space group F-43m (No. 216)
Inequivalent atoms, fractional coordinates:
Mg  0.000  0.000  0.000 [4 per cell]
Mg  0.250  0.250  0.250 [4 per cell]
Be  0.000  0.000  0.500 [4 per cell]
Cu  0.250  0.250  0.750 [4 per cell]

***

[13]
Material: Mg2BeCu5
Method: DFT, PBE
State: relaxed

Results
Uncorrected energy (eV per atom): -3.18

a = 4.133 Å, b = 4.133 Å, c = 5.880 Å
α = 90.00°, β = 90.00°, γ = 90.00°
Space group P4/mmm (No. 123)
Inequivalent atoms, fractional coordinates:
Mg  0.000  0.000  0.000 [1 per cell]
Mg  0.500  0.500  0.500 [1 per cell]
Be  0.000  0.000  0.500 [1 per cell]
Cu  0.000  0.500  0.262 [4 per cell]
Cu  0.500  0.500  0.000 [1 per cell]